Below is CaPrAgGe after structural relaxation, with properties calculated at the PBE level.

Results
SG = F-43m
ΔE_f = -0.530 eV per atom
E_tot = -4.092 eV/atom

a = 5.2380 Å, b = 5.2380 Å, c = 5.2380 Å
α = 60.00°, β = 60.00°, γ = 60.00°
Atoms (fractional coordinates):
Ca  0.0000  0.0000  0.0000
Pr  0.5000  0.5000  0.5000
Ag  0.2500  0.2500  0.2500
Ge  0.7500  0.7500  0.7500